Ca2LaNd: relaxed, GGA-PBE.

Calculated values
Calculated formation energy in meV per atom: 113
Crystal system: tetragonal
Size of the total moment in μB per formula unit: 0.00
Fermi-level density of states in states/eV/atom: 1.51

```
data_Ca2LaNd
_chemical_formula_sum 'Ca2 La1 Nd1'
_space_group_name_H-M_alt 'P 4/m m m'
_space_group_IT_number 123
_space_group_name_Hall '-P 4 2'
_cell_length_a 5.189
_cell_length_b 5.189
_cell_length_c 5.689
_cell_angle_alpha 90.00
_cell_angle_beta 90.00
_cell_angle_gamma 90.00
loop_
_atom_site_label
_atom_site_fract_x
_atom_site_fract_y
_atom_site_fract_z
_atom_site_occupancy
Ca1 0.000 0.500 0.000 1
La1 0.000 0.000 0.500 1
Nd1 0.500 0.500 0.500 1
```